Density functional theory data (PBE) for an optimized crystal structure of Pr3CuGe2.

As for the density of states at the Fermi level: 19.8 states/eV/cell. For the density, the calculation gives 6.76 g/cm³. The value obtained for the raw total energy is -5.26 eV/atom. As for the magnetic moment: 5.51 μB/cell. The value obtained for the calculated formation energy is -0.65 eV/atom.

The structure belongs to space group Pnma (No. 62); the cell edges are 11.962, 4.344 and 11.938 Å and the angles 90.00°, 90.00° and 90.00°. The inequivalent atoms are Pr at (0.058, 0.250, 0.125), Pr at (0.124, 0.750, 0.562), Pr at (0.208, 0.250, 0.806), Cu at (0.130, 0.250, 0.370), Ge at (0.025, 0.750, 0.318) and Ge at (0.191, 0.750, 0.994).